## MgAuS2 (meta-GGA SCAN)

Data for a PBEsol-optimized structure of MgAuS2.

Output
As for the formation energy from raw total energies: -63 meV/atom.

a b c (Å): 3.829 3.829 7.558
angles (deg): 75.33 75.33 60.00
Fractional positions:
S 0.891 0.891 0.326
S 0.109 0.109 0.674
Au 0.500 0.500 0.500
Mg 0.000 0.000 0.000


## ZrCuRh2 (meta-GGA SCAN)

Data for a PBEsol-optimized structure of ZrCuRh2.

Output
The calculation puts the formation energy at -6.5 kcal/mol of atoms.

a b c (Å): 2.800 4.862 5.144
angles (deg): 117.22 104.23 93.19
Fractional positions:
Rh 0.500 0.500 0.500
Zr 0.000 0.500 0.000
Rh 0.000 0.000 0.500
Cu 0.500 0.000 0.000